(1)
# PBE PbINF2, optimized geometry
# Energy: -3.4771 eV/atom
# Formation energy without anion corrections: -0.1 eV per formula unit
# Offset from the most stable computed form: 0.2092 eV per atom
data_PbINF2
_space_group_name_H-M_alt 'P 4/m m m'
_space_group_IT_number 123
_space_group_name_Hall '-P 4 2'
_cell_length_a 4.9681
_cell_length_b 4.9681
_cell_length_c 4.1021
_cell_angle_alpha 90.00
_cell_angle_beta 90.00
_cell_angle_gamma 90.00
loop_
_atom_site_label
_atom_site_type_symbol
_atom_site_fract_x
_atom_site_fract_y
_atom_site_fract_z
Pb1 Pb 0.0000 0.0000 0.0000
I1 I 0.5000 0.5000 0.5000
N1 N 0.5000 0.5000 0.0000
F1 F 0.0000 0.5000 0.5000

(2)
# PBE PbI2NF, optimized geometry
# Energy: -2.6905 eV/atom
# Formation energy without anion corrections: 3.6 eV per formula unit
# Offset from the most stable computed form: 0.0000 eV per atom
data_PbI2NF
_space_group_name_H-M_alt 'P 4/m m m'
_space_group_IT_number 123
_space_group_name_Hall '-P 4 2'
_cell_length_a 6.1683
_cell_length_b 6.1683
_cell_length_c 3.8533
_cell_angle_alpha 90.00
_cell_angle_beta 90.00
_cell_angle_gamma 90.00
loop_
_atom_site_label
_atom_site_type_symbol
_atom_site_fract_x
_atom_site_fract_y
_atom_site_fract_z
Pb1 Pb 0.0000 0.0000 0.0000
I1 I 0.0000 0.5000 0.5000
N1 N 0.5000 0.5000 0.0000
F1 F 0.5000 0.5000 0.5000